The following is a DFT calculation (PBE-GGA) of crystalline Np2SnGe at its relaxed geometry.

abc: 4.0037 4.0037 5.7367
angles: 90.00 90.00 90.00
Last column: nearest neighbours and their distance in Å.
Atoms (fractional coordinates):
Np1 0.0000 0.0000 0.2338  1 Np 2.68
Np2 0.0000 0.0000 0.7662  1 Np 2.68
Sn1 0.5000 0.5000 0.5000  2 Ge 2.87
Ge1 0.5000 0.5000 0.0000  2 Sn 2.87, 8 Np 3.13

Computed properties:
Crystal system: tetragonal
Total moment in μB per formula unit: 8.00
Formation energy from the elements in eV/atom: -0.116

***

The following is a DFT calculation (PBE-GGA) of crystalline NpSnGe2 at its relaxed geometry.

abc: 4.5075 4.5075 4.1295
angles: 90.00 90.00 90.00
Last column: nearest neighbours and their distance in Å.
Atoms (fractional coordinates):
Np1 0.0000 0.0000 0.0000  8 Ge 3.06, 4 Sn 3.19
Sn1 0.5000 0.5000 0.0000  8 Ge 3.06, 4 Np 3.19
Ge1 0.0000 0.5000 0.5000  4 Sn 3.06, 4 Np 3.06, 4 Ge 3.19
Ge2 0.5000 0.0000 0.5000  4 Sn 3.06, 4 Np 3.06, 4 Ge 3.19

Computed properties:
Crystal system: tetragonal
Total moment in μB per formula unit: 3.52
Energy above the most stable polymorph in this dataset in meV per atom: 0.0
Formation energy from the elements in eV/atom: -0.173

***

The following is a DFT calculation (PBE-GGA) of crystalline NpSnGe2 at its relaxed geometry.

abc: 7.6610 7.6610 7.6610
angles: 35.60 35.60 35.60
Last column: nearest neighbours and their distance in Å.
Atoms (fractional coordinates):
Np1 0.0000 0.0000 0.0000  6 Ge 2.88
Sn1 0.5000 0.5000 0.5000  2 Ge 2.58
Ge1 0.3800 0.3800 0.3800  1 Sn 2.58, 3 Np 2.88
Ge2 0.6200 0.6200 0.6200  1 Sn 2.58, 3 Np 2.88

Computed properties:
Crystal system: trigonal
Total moment in μB per formula unit: 3.74
Energy above the most stable polymorph in this dataset in meV per atom: 806.7
Formation energy from the elements in eV/atom: 0.634

***

The following is a DFT calculation (PBE-GGA) of crystalline Np2SnGe at its relaxed geometry.

abc: 11.0227 11.0227 11.0227
angles: 15.86 15.86 15.86
Last column: nearest neighbours and their distance in Å.
Atoms (fractional coordinates):
Np1 0.2460 0.2460 0.2460  6 Np 3.04, 3 Ge 3.13, 3 Sn 3.35
Np2 0.7540 0.7540 0.7540  6 Np 3.04, 3 Ge 3.13, 3 Sn 3.35
Sn1 0.0000 0.0000 0.0000  6 Sn 3.04, 6 Np 3.35
Ge1 0.5000 0.5000 0.5000  6 Ge 3.04, 6 Np 3.13

Computed properties:
Crystal system: trigonal
Total moment in μB per formula unit: 7.03
Formation energy from the elements in eV/atom: 0.091

***

The following is a DFT calculation (PBE-GGA) of crystalline SrNpGe4 at its relaxed geometry.

abc: 5.7078 5.7078 5.7078
angles: 60.00 60.00 60.00
Last column: nearest neighbours and their distance in Å.
Atoms (fractional coordinates):
Sr1 0.0000 0.0000 0.0000  12 Ge 3.35, 4 Np 3.50
Np1 0.2500 0.2500 0.2500  12 Ge 3.34, 4 Sr 3.50
Ge1 0.1319 0.6227 0.6227  6 Ge 2.80-2.91
Ge2 0.6227 0.1319 0.6227  6 Ge 2.80-2.91
Ge3 0.6227 0.6227 0.1319  6 Ge 2.80-2.91
Ge4 0.6227 0.6227 0.6227  6 Ge 2.80-2.91

Computed properties:
Crystal system: cubic
Total moment in μB per formula unit: 4.95
Formation energy from the elements in eV/atom: -0.094

***

The following is a DFT calculation (PBE-GGA) of crystalline Np2Ta3Ge4 at its relaxed geometry.

abc: 7.1505 7.1504 7.0422
angles: 90.00 110.06 90.00
Last column: nearest neighbours and their distance in Å.
Atoms (fractional coordinates):
Np1 0.1790 0.1621 0.0551  7 Ge 2.86-3.09
Np2 0.1790 0.3379 0.5551  7 Ge 2.86-3.09
Np3 0.8210 0.6621 0.4449  7 Ge 2.86-3.09
Np4 0.8210 0.8379 0.9449  7 Ge 2.86-3.09
Ta1 0.2523 0.6724 0.2484  6 Ge 2.63-2.74
Ta2 0.2523 0.8276 0.7484  6 Ge 2.63-2.74
Ta3 0.5000 0.0000 0.5000  6 Ge 2.76-2.79
Ta4 0.5000 0.5000 0.0000  6 Ge 2.76-2.79
Ta5 0.7477 0.1724 0.2516  6 Ge 2.63-2.74
Ta6 0.7477 0.3276 0.7516  6 Ge 2.63-2.74
Ge1 0.0873 0.5396 0.8621  4 Ta 2.63-2.79, 1 Ge 2.70, 1 Np 2.86
Ge2 0.0873 0.9604 0.3621  4 Ta 2.63-2.79, 1 Ge 2.70, 1 Np 2.86
Ge3 0.4892 0.1346 0.8630  5 Ta 2.63-2.78, 1 Ge 2.69, 1 Np 2.90
Ge4 0.4892 0.3654 0.3630  5 Ta 2.63-2.78, 1 Ge 2.69, 1 Np 2.90
Ge5 0.5108 0.6346 0.6370  5 Ta 2.63-2.78, 1 Ge 2.69, 1 Np 2.90
Ge6 0.5108 0.8654 0.1370  5 Ta 2.63-2.78, 1 Ge 2.69, 1 Np 2.90
Ge7 0.9127 0.0396 0.6379  4 Ta 2.63-2.79, 1 Ge 2.70, 1 Np 2.86
Ge8 0.9127 0.4604 0.1379  4 Ta 2.63-2.79, 1 Ge 2.70, 1 Np 2.86

Computed properties:
Crystal system: monoclinic
Total moment in μB per formula unit: 7.47
Formation energy from the elements in eV/atom: -0.324

***

The following is a DFT calculation (PBE-GGA) of crystalline TbNpGe2 at its relaxed geometry.

abc: 5.4374 5.4374 5.4374
angles: 52.05 52.05 52.05
Last column: nearest neighbours and their distance in Å.
Atoms (fractional coordinates):
Tb1 0.0000 0.0000 0.0000  6 Ge 3.01
Np1 0.5000 0.5000 0.5000  6 Ge 2.98
Ge1 0.2471 0.2471 0.2471  3 Np 2.98, 3 Tb 3.01
Ge2 0.7529 0.7529 0.7529  3 Np 2.98, 3 Tb 3.01

Computed properties:
Crystal system: trigonal
Total moment in μB per formula unit: 4.02
Energy above the most stable polymorph in this dataset in meV per atom: 67.8
Formation energy from the elements in eV/atom: -0.306

***

The following is a DFT calculation (PBE-GGA) of crystalline TbNpGe2 at its relaxed geometry.

abc: 3.2974 3.2974 8.1073
angles: 90.00 90.00 90.00
Last column: nearest neighbours and their distance in Å.
Atoms (fractional coordinates):
Tb1 0.0000 0.0000 0.0000  8 Ge 3.10, 4 Tb 3.30
Np1 0.0000 0.0000 0.5000  8 Ge 3.08, 4 Np 3.30
Ge1 0.5000 0.5000 0.2517  4 Np 3.08, 4 Tb 3.10, 4 Ge 3.30
Ge2 0.5000 0.5000 0.7483  4 Np 3.08, 4 Tb 3.10, 4 Ge 3.30

Computed properties:
Crystal system: tetragonal
Total moment in μB per formula unit: 4.15
Energy above the most stable polymorph in this dataset in meV per atom: 0.0
Formation energy from the elements in eV/atom: -0.374

***

The following is a DFT calculation (PBE-GGA) of crystalline TbNpGe4 at its relaxed geometry.

abc: 5.5873 5.5873 5.5873
angles: 60.00 60.00 60.00
Last column: nearest neighbours and their distance in Å.
Atoms (fractional coordinates):
Tb1 0.0000 0.0000 0.0000  12 Ge 3.28, 4 Np 3.42
Np1 0.2500 0.2500 0.2500  12 Ge 3.28, 4 Tb 3.42
Ge1 0.1260 0.6247 0.6247  6 Ge 2.79-2.80
Ge2 0.6247 0.1260 0.6247  6 Ge 2.79-2.80
Ge3 0.6247 0.6247 0.1260  6 Ge 2.79-2.80
Ge4 0.6247 0.6247 0.6247  6 Ge 2.79-2.80

Computed properties:
Crystal system: cubic
Total moment in μB per formula unit: 5.80
Formation energy from the elements in eV/atom: -0.150

***

The following is a DFT calculation (PBE-GGA) of crystalline TbNpGe at its relaxed geometry.

abc: 7.5138 7.5138 7.5138
angles: 148.98 135.99 54.81
Last column: nearest neighbours and their distance in Å.
Atoms (fractional coordinates):
Tb1 0.2035 0.2035 0.0000  4 Ge 2.97
Tb2 0.7965 0.7965 0.0000  4 Ge 2.97
Np1 0.2529 0.5000 0.7529  2 Np 2.78-2.85, 4 Ge 3.02
Np2 0.7471 0.5000 0.2471  2 Np 2.78-2.85, 4 Ge 3.02
Ge1 0.3674 0.8674 0.5000  4 Tb 2.97, 4 Np 3.02
Ge2 0.6326 0.1326 0.5000  4 Tb 2.97, 4 Np 3.02

Computed properties:
Crystal system: orthorhombic
Total moment in μB per formula unit: 4.79
Formation energy from the elements in eV/atom: -0.298

***

The following is a DFT calculation (PBE-GGA) of crystalline NpTcGe2 at its relaxed geometry.

abc: 3.1623 3.1623 7.0743
angles: 90.00 90.00 90.00
Last column: nearest neighbours and their distance in Å.
Atoms (fractional coordinates):
Np1 0.0000 0.0000 0.0000  8 Ge 3.08, 4 Np 3.16
Tc1 0.0000 0.0000 0.5000  8 Ge 2.65
Ge1 0.5000 0.5000 0.2990  4 Tc 2.65, 1 Ge 2.84
Ge2 0.5000 0.5000 0.7010  4 Tc 2.65, 1 Ge 2.84

Computed properties:
Crystal system: tetragonal
Total moment in μB per formula unit: 4.78
Energy above the most stable polymorph in this dataset in meV per atom: 43.6
Formation energy from the elements in eV/atom: -0.120

***

The following is a DFT calculation (PBE-GGA) of crystalline NpTcGe at its relaxed geometry.

abc: 4.4136 4.4136 3.3558
angles: 90.00 90.00 120.00
Last column: nearest neighbours and their distance in Å.
Atoms (fractional coordinates):
Np1 0.0000 0.0000 0.0000  6 Tc 3.05, 6 Ge 3.05, 2 Np 3.36
Tc1 0.6667 0.3333 0.5000  3 Ge 2.55
Ge1 0.3333 0.6667 0.5000  3 Tc 2.55

Computed properties:
Crystal system: hexagonal
Total moment in μB per formula unit: 2.66
Energy above the most stable polymorph in this dataset in meV per atom: 163.9
Formation energy from the elements in eV/atom: -0.045